# V5Mo2W GGA-PBE optimized geometry
data_V5Mo2W
_chemical_formula_sum 'V10 Mo4 W2'
_space_group_name_H-M_alt 'P b a m'
_space_group_IT_number 55
_space_group_name_Hall '-P 2 2ab'
_cell_length_a 5.157
_cell_length_b 10.182
_cell_length_c 4.413
_cell_angle_alpha 90.00
_cell_angle_beta 90.00
_cell_angle_gamma 90.00
loop_
_atom_site_label
_atom_site_type_symbol
_atom_site_fract_x
_atom_site_fract_y
_atom_site_fract_z
V1 V 0.000 0.000 0.000
V2 V 0.151 0.251 0.000
V3 V 0.166 0.615 0.500
Mo1 Mo 0.165 0.871 0.500
W1 W 0.000 0.500 0.000
# - Polymorph energy (0 for the lowest one): 0.00 eV/f.u.
# - Calculated volume: 231.70 Å³ per cell
# - Formation energy: -0.013 eV/atom
# - Energy: -10.04 eV per atom

# CoNiIr2 GGA-PBE optimized geometry
data_CoNiIr2
_chemical_formula_sum 'Co1 Ni1 Ir2'
_space_group_name_H-M_alt 'P m m m'
_space_group_IT_number 47
_space_group_name_Hall '-P 2 2'
_cell_length_a 2.669
_cell_length_b 3.596
_cell_length_c 5.323
_cell_angle_alpha 90.00
_cell_angle_beta 90.00
_cell_angle_gamma 90.00
loop_
_atom_site_label
_atom_site_type_symbol
_atom_site_fract_x
_atom_site_fract_y
_atom_site_fract_z
Co1 Co 0.000 0.000 0.000
Ni1 Ni 0.000 0.000 0.500
Ir1 Ir 0.500 0.500 0.249
# - Polymorph energy (0 for the lowest one): 0.18 eV/f.u.
# - Calculated volume: 51.08 Å³ per cell
# - Formation energy: 0.050 eV/atom
# - Energy: -7.60 eV per atom

# NaCd2Si2 GGA-PBE optimized geometry
data_NaCd2Si2
_chemical_formula_sum 'Na2 Cd4 Si4'
_space_group_name_H-M_alt 'P 4/m b m'
_space_group_IT_number 127
_space_group_name_Hall '-P 4 2ab'
_cell_length_a 7.364
_cell_length_b 7.364
_cell_length_c 3.968
_cell_angle_alpha 90.00
_cell_angle_beta 90.00
_cell_angle_gamma 90.00
loop_
_atom_site_label
_atom_site_type_symbol
_atom_site_fract_x
_atom_site_fract_y
_atom_site_fract_z
Na1 Na 0.000 0.000 0.000
Cd1 Cd 0.187 0.313 0.500
Si1 Si 0.112 0.612 0.000
# - Formation energy without anion corrections: 0.25 eV/atom
# - Polymorph energy (0 for the lowest one): 0.91 eV/f.u.
# - Calculated volume: 215.15 Å³ per cell
# - Energy: -2.55 eV per atom

# FeCoI4 GGA-PBE optimized geometry
data_FeCoI4
_chemical_formula_sum 'Fe2 Co2 I8'
_space_group_name_H-M_alt 'P -4 2 c'
_space_group_IT_number 112
_space_group_name_Hall 'P -4 2c'
_cell_length_a 6.369
_cell_length_b 6.369
_cell_length_c 11.552
_cell_angle_alpha 90.00
_cell_angle_beta 90.00
_cell_angle_gamma 90.00
loop_
_atom_site_label
_atom_site_type_symbol
_atom_site_fract_x
_atom_site_fract_y
_atom_site_fract_z
Fe1 Fe 0.000 0.500 0.250
Co1 Co 0.000 0.000 0.000
I1 I 0.232 0.255 0.379
# - Formation energy without anion corrections: -0.05 eV/atom
# - Calculated volume: 468.58 Å³ per cell
# - Energy: -3.68 eV per atom

# SrTl2Cd GGA-PBE optimized geometry
data_SrTl2Cd
_chemical_formula_sum 'Sr2 Tl4 Cd2'
_space_group_name_H-M_alt 'C 1 2/m 1'
_space_group_IT_number 12
_space_group_name_Hall '-C 2y'
_cell_length_a 8.845
_cell_length_b 5.106
_cell_length_c 6.194
_cell_angle_alpha 90.00
_cell_angle_beta 118.24
_cell_angle_gamma 90.00
loop_
_atom_site_label
_atom_site_type_symbol
_atom_site_fract_x
_atom_site_fract_y
_atom_site_fract_z
Sr1 Sr 0.000 0.000 0.000
Tl1 Tl 0.229 0.000 0.687
Cd1 Cd 0.000 0.500 0.500
# - Calculated volume: 246.42 Å³ per cell
# - Formation energy: -0.247 eV/atom
# - Energy: -2.08 eV per atom

# CePuRuPb GGA-PBE optimized geometry
data_CePuRuPb
_chemical_formula_sum 'Ce1 Pu1 Ru1 Pb1'
_space_group_name_H-M_alt 'P 4 m m'
_space_group_IT_number 99
_space_group_name_Hall 'P 4 -2'
_cell_length_a 3.331
_cell_length_b 3.331
_cell_length_c 8.791
_cell_angle_alpha 90.00
_cell_angle_beta 90.00
_cell_angle_gamma 90.00
loop_
_atom_site_label
_atom_site_type_symbol
_atom_site_fract_x
_atom_site_fract_y
_atom_site_fract_z
Ce1 Ce 0.000 0.000 0.000
Pu1 Pu 0.000 0.000 0.598
Ru1 Ru 0.500 0.500 0.801
Pb1 Pb 0.500 0.500 0.302
# - Calculated volume: 97.54 Å³ per cell
# - Formation energy: -0.268 eV/atom
# - Energy: -8.58 eV per atom

# Pr8Si3SbI4 GGA-PBE optimized geometry
data_Pr8Si3SbI4
_chemical_formula_sum 'Pr24 Si9 Sb3 I12'
_space_group_name_H-M_alt 'R -3 m'
_space_group_IT_number 166
_space_group_name_Hall '-R 3 2"'
_cell_length_a 8.8331
_cell_length_b 8.8331
_cell_length_c 23.3694
_cell_angle_alpha 90.00
_cell_angle_beta 90.00
_cell_angle_gamma 120.00
loop_
_atom_site_label
_atom_site_type_symbol
_atom_site_fract_x
_atom_site_fract_y
_atom_site_fract_z
Pr1 Pr 0.0000 0.0000 0.2321
Pr2 Pr 0.0176 0.5088 0.7664
Si1 Si 0.0000 0.5000 0.5000
Sb1 Sb 0.0000 0.0000 0.5000
I1 I 0.0000 0.0000 0.0000
I2 I 0.0000 0.5000 0.0000
# - Formation energy without anion corrections: -1.00 eV/atom
# - Calculated volume: 1579.08 Å³ per cell
# - Energy: -5.05 eV per atom

# AlAu3 GGA-PBE optimized geometry
data_AlAu3
_chemical_formula_sum 'Al3 Au9'
_space_group_name_H-M_alt 'R -3 m'
_space_group_IT_number 166
_space_group_name_Hall '-R 3 2"'
_cell_length_a 3.1459
_cell_length_b 3.1459
_cell_length_c 25.0338
_cell_angle_alpha 90.00
_cell_angle_beta 90.00
_cell_angle_gamma 120.00
loop_
_atom_site_label
_atom_site_type_symbol
_atom_site_fract_x
_atom_site_fract_y
_atom_site_fract_z
Al1 Al 0.0000 0.0000 0.0000
Au1 Au 0.0000 0.0000 0.2582
Au2 Au 0.0000 0.0000 0.5000
# - Calculated volume: 214.55 Å³ per cell
# - Formation energy: -0.182 eV/atom
# - Energy: -3.58 eV per atom